DFT (PBE-GGA) results for an optimized crystal structure of SmEr5Th2.

a b c (Å): 9.8858 14.2545 3.5709
angles (deg): 90.00 90.00 90.00
Closest atoms and distances in Å follow each position.
Space group Cmmm (No. 65)
Asymmetric unit:
Sm 0.0000 0.0000 0.0000 [2 per cell]  8 Er 3.56, 2 Th 3.57, 2 Sm 3.57
Er 0.0000 0.5000 0.0000 [2 per cell]  10 Er 3.54-3.57, 2 Th 3.56
Er 0.2485 0.3729 0.5000 [8 per cell]  4 Th 3.50-3.53, 6 Er 3.50-3.62, 2 Sm 3.56
Th 0.0000 0.2505 0.0000 [4 per cell]  9 Er 3.50-3.56, 1 Sm 3.57, 2 Th 3.57

Computed properties:
- size of the total moment (μB/cell) = 0.001
- energy above the most stable polymorph in this dataset (eV per formula unit) = 0.00
- E (eV per cell) = -84.27
- formation energy (meV per atom) = 30